(1)
Below is a geometry-optimized TlAg2Pb structure, with properties calculated at the PBE level.

Lattice parameters (Å, degrees): 8.0915 8.0915 6.5355 51.75 51.75 90.00
With the nearest neighbours (Å) after each atom.
Positions (direct):
Pb 0.0000 0.0000 0.0000  4 Ag 2.98, 2 Tl 3.16
Ag 0.1271 0.6250 0.2500  2 Tl 2.96, 2 Pb 2.98, 2 Ag 3.16
Tl 0.5000 0.5000 0.0000  4 Ag 2.96, 2 Pb 3.16
Tl 0.2500 0.7500 0.5000  4 Ag 2.96, 2 Pb 3.16
Pb 0.7500 0.2500 0.5000  4 Ag 2.98, 2 Tl 3.16
Ag 0.6229 0.1250 0.2500  2 Tl 2.96, 2 Pb 2.98, 2 Ag 3.16
Ag 0.8750 0.8729 0.7500  2 Tl 2.96, 2 Pb 2.98, 2 Ag 3.16
Ag 0.3750 0.3771 0.7500  2 Tl 2.96, 2 Pb 2.98, 2 Ag 3.16

Computed properties:
- Energy: -2.71 eV/atom
- M_tot: 0.00 μB/cell
- Density of states at the Fermi level: 0.42 states/eV/atom
- Density: 10.07 Mg/m³
- Formation enthalpy at 0 K: 0.232 eV per atom
- Calculated volume: 207 Å³/cell
- Space-group type: I-42d (122)

=====

(2)
Below is a geometry-optimized CrHOs3 structure, with properties calculated at the PBE level.

Lattice parameters (Å, degrees): 3.8630 3.8630 3.8630 90.00 90.00 90.00
With the nearest neighbours (Å) after each atom.
Positions (direct):
Os 0.0000 0.5000 0.0000  2 H 1.93
Os 0.5000 0.0000 0.0000  2 H 1.93
Os 0.0000 0.0000 0.5000  2 H 1.93
H 0.0000 0.0000 0.0000  6 Os 1.93
Cr 0.5000 0.5000 0.5000  12 Os 2.73

Computed properties:
- Energy: -9.10 eV/atom
- M_tot: 0.00 μB/cell
- Density of states at the Fermi level: 0.70 states/eV/atom
- Density: 17.97 Mg/m³
- Calculated volume: 58 Å³/cell
- Space-group type: Pm-3m (221)

=====

Which of these has the highest calculated volume? TlAg2Pb

=====

Which formula does entry 1 have? TlAg2Pb